No. 1
DFT (GGA-PBEsol) results for an optimized crystal structure of Fe2Tc.

Size of the total moment, μB/f.u.: 2.26
Space-group type: P6_3/mmc (194)
Formation energy, meV per atom: -11
Relative energy among the computed polymorphs, kJ/mol of formula units: 1

The structure in POSCAR format:
```
Fe2Tc
1.0
4.581 0.000 0.000
-2.291 3.968 0.000
0.000 0.000 14.996
Fe Tc
16 8
direct
0.000 0.500 0.000 Fe
0.000 0.500 0.500 Fe
0.163 0.325 0.250 Fe
0.163 0.837 0.250 Fe
0.325 0.163 0.750 Fe
0.333 0.667 0.127 Fe
0.333 0.667 0.373 Fe
0.500 0.000 0.000 Fe
0.500 0.000 0.500 Fe
0.500 0.500 0.000 Fe
0.500 0.500 0.500 Fe
0.667 0.333 0.627 Fe
0.667 0.333 0.873 Fe
0.675 0.837 0.250 Fe
0.837 0.163 0.750 Fe
0.837 0.675 0.750 Fe
0.000 0.000 0.093 Tc
0.000 0.000 0.407 Tc
0.000 0.000 0.593 Tc
0.000 0.000 0.907 Tc
0.333 0.667 0.657 Tc
0.333 0.667 0.843 Tc
0.667 0.333 0.157 Tc
0.667 0.333 0.343 Tc
```

No. 2
DFT (GGA-PBEsol) results for an optimized crystal structure of MnPPt.

Size of the total moment, μB/f.u.: 3.40
Space-group type: P-6m2 (187)
Formation energy, meV per atom: -237

The structure in POSCAR format:
```
MnPPt
1.0
3.983 0.000 0.000
-1.991 3.449 0.000
0.000 0.000 3.115
Mn P Pt
1 1 1
direct
0.000 0.000 0.000 Mn
0.333 0.667 0.500 P
0.667 0.333 0.500 Pt
```

No. 3
DFT (GGA-PBEsol) results for an optimized crystal structure of Al2CuP.

Size of the total moment, μB/f.u.: 0.00
Space-group type: F-43m (216)
Formation energy, meV per atom: 251

The structure in POSCAR format:
```
Al2CuP
1.0
0.000 3.092 3.092
3.092 0.000 3.092
3.092 3.092 0.000
Al Cu P
2 1 1
direct
0.000 0.000 0.000 Al
0.250 0.250 0.250 Al
0.500 0.500 0.500 Cu
0.750 0.750 0.750 P
```

Across the entries above, DOS at the Fermi energy takes the values 23.561; 1.838; 1.979 states/eV per cell, respectively.